DFT (PBE) results for a relaxed Rb2AsSe crystal.

```
Rb2AsSe
1.0
-5.083 1.313 2.752
-2.052 5.560 -0.060
-4.824 1.345 -3.170
Rb As Se
2 1 1
Cartesian
-8.969 6.164 -0.359
-2.990 2.055 -0.120
0.000 0.000 0.000
-5.979 4.109 -0.239
```

Energy above the lowest structure with this stoichiometry in eV/atom: 0.163
V in Å³ per cell: 147
Size of the total moment in μB/cell: 3.00
Density of states at the Fermi level in states/eV per cell: 0.14
Uncorrected formation energy in meV per atom: -191